Entry 1:
Tb2IrPt: relaxed, PBE.

Cell and atoms, written as extended XYZ:
```
4
Lattice="3.472 0.000 0.000 0.000 3.472 0.000 0.000 0.000 6.969" Properties=species:S:1:pos:R:3 pbc="T T T"
Tb 0.000 0.000 1.691
Tb 0.000 0.000 5.278
Ir 1.736 1.736 0.000
Pt 1.736 1.736 3.484
```

For the total energy, the calculation gives -7.052 eV per atom. As for the magnetic moment: 0.000 μB/atom. The calculation puts the energy relative to the elements at -23.3 kcal/mol of atoms.


Entry 2:
Tb6Ir3Pt: relaxed, PBE.

Cell and atoms, written as extended XYZ:
```
20
Lattice="6.946 0.000 0.000 0.000 7.423 0.000 -6.685 0.000 9.970" Properties=species:S:1:pos:R:3 pbc="T T T"
Tb -1.164 0.453 2.524
Tb -4.506 3.259 7.509
Tb 1.217 4.969 0.846
Tb -2.126 6.165 5.831
Tb 2.369 1.274 0.647
Tb -0.973 2.437 5.632
Tb 1.235 4.986 4.338
Tb -2.107 6.149 9.323
Tb 2.387 1.258 4.139
Tb -0.955 2.454 9.124
Tb 4.767 4.164 2.461
Tb 1.425 6.970 7.446
Ir -3.023 0.843 7.679
Ir 0.319 2.868 2.694
Ir 0.131 0.000 4.985
Ir 3.473 3.711 0.000
Ir -0.058 4.554 7.276
Ir 3.284 6.580 2.291
Pt 0.000 0.000 0.000
Pt -3.342 3.711 4.985
```

For the total energy, the calculation gives -6.794 eV per atom. As for the magnetic moment: 0.000 μB/atom. The calculation puts the energy relative to the elements at -17.4 kcal/mol of atoms.


Entry 3:
Tb5Ir2Pt2: relaxed, PBE.

Cell and atoms, written as extended XYZ:
```
18
Lattice="7.377 -3.761 0.000 7.377 3.761 0.000 0.000 0.000 7.554" Properties=species:S:1:pos:R:3 pbc="T T T"
Tb 0.000 0.000 0.000
Tb 5.387 2.460 5.050
Tb 5.387 1.301 1.273
Tb 9.368 2.460 5.050
Tb 9.368 1.301 1.273
Tb 7.377 0.000 3.777
Tb 5.387 -1.301 6.281
Tb 5.387 -2.460 2.504
Tb 9.368 -1.301 6.281
Tb 9.368 -2.460 2.504
Ir 7.377 2.786 2.810
Ir 7.377 0.975 6.587
Ir 7.377 -0.975 0.968
Ir 7.377 -2.786 4.745
Pt 3.001 0.000 0.000
Pt 4.376 0.000 3.777
Pt 10.379 0.000 3.777
Pt 11.754 0.000 0.000
```

For the total energy, the calculation gives -6.861 eV per atom. As for the magnetic moment: 0.000 μB/atom. The calculation puts the energy relative to the elements at -22.5 kcal/mol of atoms.


Entry 4:
Tb4IrPt3: relaxed, PBE.

Cell and atoms, written as extended XYZ:
```
8
Lattice="3.796 0.000 0.000 0.000 4.431 0.000 0.000 0.000 10.613" Properties=species:S:1:pos:R:3 pbc="T T T"
Tb 0.000 0.000 0.000
Tb 0.000 2.216 2.916
Tb 1.898 0.000 5.206
Tb 1.898 2.216 8.217
Ir 1.898 0.000 2.352
Pt 0.000 0.000 7.677
Pt 0.000 2.216 5.839
Pt 1.898 2.216 0.515
```

For the total energy, the calculation gives -6.835 eV per atom. As for the magnetic moment: 0.000 μB/atom. The calculation puts the energy relative to the elements at -26.5 kcal/mol of atoms.